# 1
Crystalline ZnH3Rh3 at its relaxed geometry, computed with PBE-GGA.

a b c (Å): 4.0511 6.1672 6.1672
angles (deg): 120.00 90.00 90.00
Last column: nearest neighbours and their distance in Å.
Atoms (fractional coordinates):
Zn (0.2500, 0.6667, 0.3333)  3 H 2.23
Zn (0.7500, 0.3333, 0.6667)  3 H 2.23
H (0.7500, 0.1815, 0.9278)  2 Rh 1.77-1.80
H (0.7500, 0.7463, 0.8185)  2 Rh 1.77-1.80
H (0.2500, 0.9278, 0.7463)  2 Rh 1.77-1.80
H (0.7500, 0.0722, 0.2537)  2 Rh 1.77-1.80
H (0.2500, 0.2537, 0.1815)  2 Rh 1.77-1.80
H (0.2500, 0.8185, 0.0722)  2 Rh 1.77-1.80
Rh (0.7500, 0.3661, 0.2590)  2 H 1.77-1.80
Rh (0.7500, 0.8928, 0.6339)  2 H 1.77-1.80
Rh (0.2500, 0.2590, 0.8928)  2 H 1.77-1.80
Rh (0.7500, 0.7410, 0.1072)  2 H 1.77-1.80
Rh (0.2500, 0.1072, 0.3661)  2 H 1.77-1.80
Rh (0.2500, 0.6339, 0.7410)  2 H 1.77-1.80

Output
E above lowest polymorph = 0.0516 eV per atom
density = 9.39 g cm⁻³
SG = P6_3/m, No. 176
magnetization = 0.00 Bohr magnetons per cell

---

# 2
Crystalline Zn3H7Rh4 at its relaxed geometry, computed with PBE-GGA.

a b c (Å): 2.8671 8.5582 6.2710
angles (deg): 61.32 76.79 80.36
Last column: nearest neighbours and their distance in Å.
Atoms (fractional coordinates):
Zn (0.3465, 0.1421, 0.1650)  1 H 2.04
Zn (0.6535, 0.8579, 0.8350)  1 H 2.04
Zn (0.0000, 0.5000, 0.5000)  6 H 2.32-2.53, 2 Rh 2.55
H (0.3326, 0.8371, 0.4976)  3 Rh 1.80-1.88
H (0.4839, 0.2411, 0.7910)  2 Rh 1.77
H (0.8144, 0.4771, 0.8941)  3 Rh 1.81-1.82
H (0.6674, 0.1629, 0.5024)  3 Rh 1.80-1.88
H (0.1856, 0.5229, 0.1059)  3 Rh 1.81-1.82
H (0.0000, 0.0000, 0.0000)  2 Rh 1.69
H (0.5161, 0.7589, 0.2090)  2 Rh 1.77
Rh (0.6984, 0.3745, 0.2287)  4 H 1.80-1.82
Rh (0.3016, 0.6255, 0.7713)  4 H 1.80-1.82
Rh (0.9318, 0.8400, 0.2964)  5 H 1.69-1.88
Rh (0.0682, 0.1600, 0.7036)  5 H 1.69-1.88

Output
density = 7.79 g cm⁻³
SG = C2/m, No. 12
magnetization = 0.00 Bohr magnetons per cell
raw total energy = -4.117 eV per atom

---

# 3
Crystalline Zn2H3Rh3 at its relaxed geometry, computed with PBE-GGA.

a b c (Å): 2.8462 5.4845 5.4845
angles (deg): 103.31 90.00 90.00
Last column: nearest neighbours and their distance in Å.
Atoms (fractional coordinates):
Zn (0.0000, 0.6544, 0.3534)  2 H 2.21-2.32
Zn (0.0000, 0.3534, 0.6544)  2 H 2.21-2.32
H (0.0000, 0.9459, 0.7062)  2 Rh 1.77-1.78
H (0.0000, 0.7062, 0.9459)  2 Rh 1.77-1.78
H (0.0000, 0.1685, 0.1685)  4 Rh 1.94
Rh (0.5000, 0.0385, 0.3436)  2 H 1.94
Rh (0.5000, 0.3436, 0.0385)  2 H 1.94
Rh (0.5000, 0.7895, 0.7895)  4 H 1.77-1.78

Output
density = 8.82 g cm⁻³
SG = Amm2, No. 38
magnetization = 0.00 Bohr magnetons per cell
raw total energy = -4.324 eV per atom